Arrangement 1

Below is a relaxed structure of K2PbF4, with properties calculated at the PBE level.

abc: 3.808 6.825 7.160
angles: 123.66 105.42 90.00
Atoms (fractional coordinates):
K (0.688, 0.698, 0.376)
K (0.312, 0.302, 0.624)
Pb (0.000, 0.000, 0.000)
F (0.888, 0.169, 0.776)
F (0.112, 0.831, 0.224)
F (0.636, 0.257, 0.272)
F (0.364, 0.743, 0.728)

Arrangement 2

Below is a relaxed structure of K2PbF4, with properties calculated at the PBE level.

abc: 4.828 4.828 7.703
angles: 71.74 71.74 90.00
Atoms (fractional coordinates):
Pb (0.000, 0.000, 0.000)
K (0.355, 0.355, 0.290)
K (0.645, 0.645, 0.710)
F (0.175, 0.175, 0.650)
F (0.825, 0.825, 0.350)
F (0.000, 0.500, 0.000)
F (0.500, 0.000, 0.000)

Energy comparison, zero being the most stable, in eV/atom: arrangement 1 0.000; arrangement 2 0.038.

Arrangement 1

Below is a relaxed structure of KPb2F5, with properties calculated at the PBE level.

abc: 4.734 6.736 12.897
angles: 90.00 90.00 110.57
Atoms (fractional coordinates):
K (0.813, 0.626, 0.750)
K (0.187, 0.374, 0.250)
Pb (0.862, 0.725, 0.433)
Pb (0.862, 0.725, 0.067)
Pb (0.138, 0.275, 0.567)
Pb (0.138, 0.275, 0.933)
F (0.951, 0.903, 0.899)
F (0.951, 0.903, 0.601)
F (0.301, 0.602, 0.439)
F (0.301, 0.602, 0.061)
F (0.793, 0.586, 0.250)
F (0.207, 0.414, 0.750)
F (0.699, 0.398, 0.561)
F (0.699, 0.398, 0.939)
F (0.049, 0.097, 0.101)
F (0.049, 0.097, 0.399)

Arrangement 2

Below is a relaxed structure of KPb2F5, with properties calculated at the PBE level.

abc: 6.272 8.476 12.875
angles: 106.26 90.00 90.00
Atoms (fractional coordinates):
K (0.500, 0.000, 0.500)
K (0.000, 0.000, 0.000)
K (0.500, 0.500, 0.500)
K (0.000, 0.500, 0.000)
Pb (0.505, 0.184, 0.855)
Pb (0.995, 0.184, 0.355)
Pb (0.049, 0.347, 0.673)
Pb (0.451, 0.347, 0.173)
Pb (0.549, 0.653, 0.827)
Pb (0.951, 0.653, 0.327)
Pb (0.005, 0.816, 0.645)
Pb (0.495, 0.816, 0.145)
F (0.244, 0.076, 0.700)
F (0.803, 0.220, 0.529)
F (0.256, 0.076, 0.200)
F (0.764, 0.379, 0.821)
F (0.250, 0.248, 0.502)
F (0.697, 0.220, 0.029)
F (0.316, 0.428, 0.840)
F (0.736, 0.379, 0.321)
F (0.250, 0.248, 0.002)
F (0.816, 0.572, 0.660)
F (0.184, 0.428, 0.340)
F (0.750, 0.752, 0.998)
F (0.264, 0.621, 0.679)
F (0.684, 0.572, 0.160)
F (0.303, 0.780, 0.971)
F (0.750, 0.752, 0.498)
F (0.236, 0.621, 0.179)
F (0.744, 0.924, 0.800)
F (0.197, 0.780, 0.471)
F (0.756, 0.924, 0.300)

Energy comparison, zero being the most stable, in eV/atom: arrangement 1 0.007; arrangement 2 0.000.

Arrangement 1

Below is a relaxed structure of KZrPbF2, with properties calculated at the PBE level.

abc: 4.383 7.605 4.383
angles: 90.00 90.00 90.00
Atoms (fractional coordinates):
Pb (0.500, 0.500, 0.500)
K (0.000, 0.500, 0.000)
Zr (0.000, 0.000, 0.000)
F (0.000, 0.000, 0.500)
F (0.500, 0.000, 0.000)

Arrangement 2

Below is a relaxed structure of KZrPbF2, with properties calculated at the PBE level.

abc: 4.978 6.068 4.978
angles: 90.00 90.00 90.00
Atoms (fractional coordinates):
Pb (0.000, 0.000, 0.000)
K (0.500, 0.500, 0.500)
Zr (0.000, 0.500, 0.000)
F (0.000, 0.000, 0.500)
F (0.500, 0.000, 0.000)

Energy comparison, zero being the most stable, in eV/atom: arrangement 1 0.000; arrangement 2 0.578.

Arrangement 1

Below is a relaxed structure of KPd3F, with properties calculated at the PBE level.

abc: 5.202 5.202 5.202
angles: 90.00 90.00 90.00
Atoms (fractional coordinates):
K (0.000, 0.000, 0.000)
Pd (0.000, 0.500, 0.000)
Pd (0.000, 0.000, 0.500)
Pd (0.500, 0.000, 0.000)
F (0.500, 0.500, 0.500)

Arrangement 2

Below is a relaxed structure of KPd3F, with properties calculated at the PBE level.

abc: 4.619 4.619 4.619
angles: 90.00 90.00 90.00
Atoms (fractional coordinates):
K (0.500, 0.500, 0.500)
Pd (0.000, 0.500, 0.000)
Pd (0.000, 0.000, 0.500)
Pd (0.500, 0.000, 0.000)
F (0.000, 0.000, 0.000)

Energy comparison, zero being the most stable, in eV/atom: arrangement 1 1.102; arrangement 2 0.000.